Material: Hf5In4Ga
Method: DFT, PBE
State: relaxed

Cell lengths 7.2985, 7.2985, 7.2985 Å; angles 98.74, 94.83, 139.81 degrees
Sites, in units of the cell vectors:
Hf (0.0000, 0.0000, 0.0000)
Hf (0.4363, 0.4520, 0.6290)
Hf (0.4363, 0.8073, 0.9843)
Hf (0.8230, 0.4520, 0.0157)
Hf (0.8230, 0.8073, 0.3710)
In (0.1492, 0.4587, 0.3095)
In (0.1492, 0.8397, 0.6905)
In (0.4454, 0.1391, 0.3063)
In (0.8328, 0.1391, 0.6937)
Ga (0.4981, 0.4981, 0.0000)

Calculated values
symmetry: Imm2
calculated density: 10025 kg/m3
energy of formation: 70 meV/atom
crystal system: orthorhombic
uncorrected energy: -63.05 eV for the cell shown



Material: Cs2AcCdBr6
Method: DFT, PBE
State: relaxed

Cell lengths 8.5637, 12.1270, 8.6340 Å; angles 90.00, 90.00, 90.00 degrees
Sites, in units of the cell vectors:
Cs (0.2500, 0.0167, 0.2214)
Cs (0.2500, 0.4833, 0.2214)
Cs (0.7500, 0.5167, 0.7786)
Cs (0.7500, 0.9833, 0.7786)
Ac (0.2500, 0.2500, 0.7360)
Ac (0.7500, 0.7500, 0.2640)
Cd (0.2500, 0.7500, 0.7571)
Cd (0.7500, 0.2500, 0.2429)
Br (0.0014, 0.7500, 0.0169)
Br (0.0120, 0.2500, 0.4785)
Br (0.2500, 0.0016, 0.7635)
Br (0.2500, 0.4984, 0.7635)
Br (0.4880, 0.2500, 0.4785)
Br (0.4986, 0.7500, 0.0169)
Br (0.5014, 0.2500, 0.9831)
Br (0.5120, 0.7500, 0.5215)
Br (0.7500, 0.5016, 0.2365)
Br (0.7500, 0.9984, 0.2365)
Br (0.9880, 0.7500, 0.5215)
Br (0.9986, 0.2500, 0.9831)

Calculated values
uncorrected formation energy: -1565 meV/atom
symmetry: Pmmn
calculated density: 4017 kg/m3
crystal system: orthorhombic
uncorrected energy: -64.84 eV for the cell shown



Material: Ru3Pt2Rh6
Method: DFT, PBE
State: relaxed

Cell lengths 4.7214, 6.1037, 6.1066 Å; angles 107.68, 105.06, 97.34 degrees
Sites, in units of the cell vectors:
Ru (0.0000, 0.0000, 0.0000)
Ru (0.3668, 0.2805, 0.4517)
Ru (0.6332, 0.7195, 0.5483)
Pt (0.0905, 0.8175, 0.3617)
Pt (0.9095, 0.1825, 0.6383)
Rh (0.1822, 0.6413, 0.7277)
Rh (0.2768, 0.4528, 0.0952)
Rh (0.4578, 0.0886, 0.8195)
Rh (0.5422, 0.9114, 0.1805)
Rh (0.7232, 0.5472, 0.9048)
Rh (0.8178, 0.3587, 0.2723)

Calculated values
symmetry: P-1
calculated density: 13796 kg/m3
energy of formation: -4 meV/atom
crystal system: triclinic
uncorrected energy: -84.06 eV for the cell shown



Material: CaSeBrF
Method: DFT, PBE
State: relaxed

Cell lengths 5.2189, 5.2189, 6.3140 Å; angles 119.56, 119.56, 47.84 degrees
Sites, in units of the cell vectors:
Ca (0.0000, 0.0000, 0.0000)
Se (0.7680, 0.7680, 0.1820)
Br (0.0531, 0.0531, 0.5340)
F (0.4453, 0.4453, 0.8758)

Calculated values
energy above the most stable polymorph in this dataset: 5 meV/atom
uncorrected formation energy: -1805 meV/atom
symmetry: Cm
calculated density: 3372 kg/m3
crystal system: monoclinic
uncorrected energy: -16.25 eV for the cell shown



Material: SiRhBr2
Method: DFT, PBE
State: relaxed

Cell lengths 4.6287, 3.7504, 7.0575 Å; angles 90.00, 109.07, 90.00 degrees
Sites, in units of the cell vectors:
Si (0.0000, 0.0000, 0.0000)
Rh (0.5000, 0.0000, 0.0000)
Br (0.3654, 0.5000, 0.7322)
Br (0.6346, 0.5000, 0.2678)

Calculated values
energy above the most stable polymorph in this dataset: 261 meV/atom
uncorrected formation energy: 71 meV/atom
symmetry: P2/m
calculated density: 4170 kg/m3
crystal system: monoclinic
uncorrected energy: -15.84 eV for the cell shown



Material: AcHg4Pd
Method: DFT, PBE
State: relaxed

Cell lengths 8.6085, 4.4890, 7.7998 Å; angles 90.00, 90.00, 90.00 degrees
Sites, in units of the cell vectors:
Ac (0.2500, 0.0000, 0.1104)
Ac (0.7500, 0.0000, 0.8896)
Hg (0.0000, 0.0000, 0.5000)
Hg (0.0555, 0.5000, 0.8142)
Hg (0.2500, 0.5000, 0.4440)
Hg (0.4445, 0.5000, 0.8142)
Hg (0.5000, 0.0000, 0.5000)
Hg (0.5555, 0.5000, 0.1858)
Hg (0.7500, 0.5000, 0.5560)
Hg (0.9445, 0.5000, 0.1858)
Pd (0.2500, 0.0000, 0.7253)
Pd (0.7500, 0.0000, 0.2747)

Calculated values
energy above the most stable polymorph in this dataset: 10 meV/atom
symmetry: Pmma
calculated density: 12514 kg/m3
energy of formation: -348 meV/atom
crystal system: orthorhombic
uncorrected energy: -25.20 eV for the cell shown